Record 1
Crystalline CaB2PdSe at its relaxed geometry, computed with GGA-PBEsol.

Calculated values
Energy relative to the elements, uncorrected (eV/atom): 2.0604

Unit cell a=4.630 b=4.630 c=4.851 alpha=90.00 beta=90.00 gamma=90.00
Space group P4/mmm (No. 123)
Symmetry-distinct sites (fractional):
Ca (0.000, 0.000, 0.000) [1 per cell]
B (0.000, 0.500, 0.000) [2 per cell]
Pd (0.000, 0.000, 0.500) [1 per cell]
Se (0.500, 0.500, 0.500) [1 per cell]



Record 2
Crystalline Li2GeF6 at its relaxed geometry, computed with GGA-PBEsol.

Calculated values
Polymorph energy (0 for the lowest one) (eV per atom): 0.000
Energy relative to the elements, uncorrected (eV/atom): -2.7712

Unit cell a=4.571 b=4.571 c=8.799 alpha=90.00 beta=90.00 gamma=90.00
Space group P4_2/mnm (No. 136)
Symmetry-distinct sites (fractional):
Li (0.000, 0.000, 0.162) [4 per cell]
Ge (0.000, 0.000, 0.500) [2 per cell]
F (0.191, 0.191, 0.349) [8 per cell]
F (0.218, 0.218, 0.000) [4 per cell]



Record 3
Crystalline CoPb2Cl at its relaxed geometry, computed with GGA-PBEsol.

Calculated values
Polymorph energy (0 for the lowest one) (eV per atom): 0.195
Energy relative to the elements, uncorrected (eV/atom): 0.4047

Unit cell a=7.012 b=7.012 c=7.012 alpha=90.00 beta=90.00 gamma=90.00
Space group Fm-3m (No. 225)
Symmetry-distinct sites (fractional):
Co (0.000, 0.000, 0.000) [4 per cell]
Pb (0.250, 0.250, 0.250) [8 per cell]
Cl (0.000, 0.000, 0.500) [4 per cell]



Record 4
Crystalline Ti2CdBr2 at its relaxed geometry, computed with GGA-PBEsol.

Calculated values
Energy relative to the elements, uncorrected (eV/atom): -0.0668

Unit cell a=4.375 b=4.375 c=11.099 alpha=90.00 beta=90.00 gamma=90.00
Space group I4/mmm (No. 139)
Symmetry-distinct sites (fractional):
Ti (0.000, 0.000, 0.109) [4 per cell]
Cd (0.000, 0.000, 0.500) [2 per cell]
Br (0.000, 0.500, 0.250) [4 per cell]



Record 5
Crystalline KSb2Rh at its relaxed geometry, computed with GGA-PBEsol.

Calculated values
Polymorph energy (0 for the lowest one) (eV per atom): 0.000
Energy relative to the elements, uncorrected (eV/atom): -0.3809

Unit cell a=7.375 b=4.243 c=7.343 alpha=90.00 beta=109.36 gamma=90.00
Space group C2/m (No. 12)
Symmetry-distinct sites (fractional):
K (0.000, 0.000, 0.000) [2 per cell]
Sb (0.216, 0.000, 0.647) [4 per cell]
Rh (0.000, 0.500, 0.500) [2 per cell]



Record 6
Crystalline Na2CdGeBr at its relaxed geometry, computed with GGA-PBEsol.

Calculated values
Energy relative to the elements, uncorrected (eV/atom): 0.0338

Unit cell a=5.099 b=5.099 c=5.786 alpha=90.00 beta=90.00 gamma=90.00
Space group P4/mmm (No. 123)
Symmetry-distinct sites (fractional):
Na (0.000, 0.500, 0.000) [2 per cell]
Cd (0.000, 0.000, 0.500) [1 per cell]
Ge (0.500, 0.500, 0.500) [1 per cell]
Br (0.000, 0.000, 0.000) [1 per cell]



Table of calculated total energy (eV/atom), in record order: -3.13; -5.04; -4.03; -4.38; -4.98; -2.13
Table of ρ (g cm⁻³), in record order: 3.94; 3.62; 9.80; 5.75; 5.91; 3.43